(1)
Mg4SiGe, optimized geometry, DFT PBEsol; energy relative to the elements, uncorrected = -0.2213 eV/atom; final energy = -18.88 eV for the cell shown; DOS at the Fermi energy = 0.28 states/eV/f.u.
1.0
-2.135 3.808 1.037
-4.485 0.100 0.107
-2.080 -0.556 7.465
Mg Ge Si
4 1 1
Cartesian
-4.397 2.375 1.642
-6.572 3.213 3.794
-2.127 0.139 4.816
-4.302 0.977 6.968
-4.350 1.676 4.305
0.000 0.000 0.000

---

(2)
Mg6SiGe2, optimized geometry, DFT PBEsol; energy relative to the elements, uncorrected = -0.2423 eV/atom; final energy = -28.11 eV for the cell shown; DOS at the Fermi energy = 0.44 states/eV/f.u.
1.0
4.492 0.000 0.000
0.000 6.352 0.000
-2.246 -3.176 6.736
Mg Ge Si
6 2 1
Cartesian
0.000 4.768 2.238
0.000 1.584 2.238
2.246 -1.592 4.498
2.246 1.580 0.000
2.246 1.592 4.498
2.246 4.772 0.000
2.246 3.176 2.245
0.000 0.000 4.491
0.000 0.000 0.000

---

(3)
Mg4SiGe, optimized geometry, DFT PBEsol; energy relative to the elements, uncorrected = -0.2214 eV/atom; final energy = -18.88 eV for the cell shown; DOS at the Fermi energy = 0.27 states/eV/f.u.
1.0
-3.213 -0.451 3.098
3.075 -1.287 3.002
0.831 6.046 1.741
Mg Si Ge
4 1 1
Cartesian
1.746 0.874 1.938
-0.984 4.304 2.853
-1.398 1.292 1.986
2.160 3.886 2.805
0.346 2.154 3.921
0.000 0.000 0.000

---

(4)
Sm2MgGe2, optimized geometry, DFT PBEsol; energy of formation from the pure elements = -822 meV per atom; final energy = -51.78 eV for the cell shown; DOS at the Fermi energy = 1.89 states/eV/f.u.
1.0
-2.568 3.277 -0.939
-0.504 -2.373 -6.901
-5.821 -4.041 1.814
Ge Mg Sm
4 2 4
Cartesian
-0.899 -1.389 -2.389
-3.680 -2.801 0.288
-2.644 -3.612 -5.374
-5.425 -5.024 -2.697
0.000 0.000 0.000
-3.162 -3.207 -2.543
-5.644 -3.051 -4.913
-2.661 -0.689 -4.825
-6.231 -2.448 -1.201
-3.248 -0.085 -1.113

---

(5)
Mg2SnGe2, optimized geometry, DFT PBEsol; energy of formation from the pure elements = -98 meV per atom; final energy = -36.12 eV for the cell shown; DOS at the Fermi energy = 1.50 states/eV/f.u.
1.0
3.057 0.000 0.000
0.000 8.196 0.000
0.000 0.000 8.196
Ge Mg Sn
4 4 2
Cartesian
0.000 1.326 2.772
0.000 6.869 5.424
0.000 2.772 6.869
0.000 5.424 1.326
1.529 1.114 5.212
1.529 2.984 1.114
1.529 7.082 2.984
1.529 5.212 7.082
0.000 0.000 0.000
0.000 4.098 4.098

---

(6)
Mg6Sn2Ge, optimized geometry, DFT PBEsol; energy of formation from the pure elements = -221 meV per atom; final energy = -25.75 eV for the cell shown; DOS at the Fermi energy = 0.66 states/eV/f.u.
1.0
-4.174 1.867 -1.014
0.308 -3.513 3.082
1.321 7.567 8.493
Sn Mg Ge
2 6 1
Cartesian
-2.245 2.565 3.148
-0.300 3.355 7.413
1.004 5.752 6.455
-1.908 4.498 5.317
-2.580 0.646 0.994
0.035 5.275 9.568
-0.638 1.423 5.245
0.317 1.815 2.038
0.000 0.000 0.000

---

(7)
Mg2TaGeW, optimized geometry, DFT PBEsol; energy of formation from the pure elements = 1321 meV per atom; final energy = -28.13 eV for the cell shown; DOS at the Fermi energy = 3.90 states/eV/f.u.
1.0
-3.134 0.922 3.182
-0.176 -4.421 1.108
3.540 0.683 3.289
Mg W Ge Ta
2 1 1 1
Cartesian
-0.088 -2.210 0.554
-1.567 0.461 1.591
0.115 -1.408 3.789
0.000 0.000 0.000
1.770 0.342 1.644

---

(8)
Tb4MgGe4, optimized geometry, DFT PBEsol; energy of formation from the pure elements = -868 meV per atom; final energy = -197.29 eV for the cell shown; DOS at the Fermi energy = 4.38 states/eV/f.u.
1.0
-0.726 7.047 0.805
-5.329 -1.168 5.417
10.364 -0.095 10.176
Ge Tb Mg
16 16 4
Cartesian
-2.239 0.640 3.022
2.207 0.599 7.388
4.306 2.604 11.188
-1.380 4.770 6.633
6.548 5.144 13.376
0.002 3.180 5.211
0.160 1.156 10.950
-0.298 4.668 1.082
2.101 5.184 9.010
4.149 4.628 5.449
5.688 1.014 9.766
2.190 5.743 13.372
4.606 1.115 15.316
2.118 0.041 3.026
-2.211 0.985 7.444
6.519 4.799 8.955
4.103 3.179 8.183
5.308 0.322 12.693
0.128 2.106 2.526
7.320 3.150 11.342
-3.011 2.634 5.056
1.547 5.438 6.205
-4.090 6.000 6.186
-0.873 5.971 9.346
8.399 -0.217 10.212
1.634 3.701 11.373
2.762 0.346 10.193
0.206 2.604 8.216
2.674 2.082 5.026
4.180 3.678 13.873
-0.999 5.461 3.705
5.181 -0.187 7.053
4.610 5.287 10.904
-3.106 3.484 8.379
-0.301 0.496 5.495
7.415 2.299 8.019

---

(9)
MgTc2Ge, optimized geometry, DFT PBEsol; energy of formation from the pure elements = 212 meV per atom; final energy = -28.34 eV for the cell shown; DOS at the Fermi energy = 5.54 states/eV/f.u.
1.0
-3.808 -1.030 -1.761
-0.239 -3.161 -2.934
-1.904 -3.744 1.009
Mg Ge Tc
1 1 2
Cartesian
0.000 0.000 0.000
-2.975 -3.967 -1.843
-1.488 -1.984 -0.921
-4.463 -5.951 -2.764

---

(10)
MgGeTe3, optimized geometry, DFT PBEsol; energy relative to the elements, uncorrected = 0.3886 eV/atom; final energy = -15.29 eV for the cell shown; DOS at the Fermi energy = 4.00 states/eV/f.u.
1.0
5.327 0.000 0.000
0.000 5.327 0.000
0.000 0.000 5.327
Te Mg Ge
3 1 1
Cartesian
2.663 0.000 0.000
0.000 2.663 0.000
0.000 0.000 2.663
0.000 0.000 0.000
2.663 2.663 2.663

---

(11)
MgTlGe3, optimized geometry, DFT PBEsol; energy of formation from the pure elements = 949 meV per atom; final energy = -14.42 eV for the cell shown; DOS at the Fermi energy = 3.39 states/eV/f.u.
1.0
5.269 0.000 0.000
0.000 5.269 0.000
0.000 0.000 5.269
Ge Tl Mg
3 1 1
Cartesian
0.000 0.000 2.634
2.634 0.000 0.000
0.000 2.634 0.000
0.000 0.000 0.000
2.634 2.634 2.634

---

(12)
MgGe3W, optimized geometry, DFT PBEsol; energy of formation from the pure elements = 1657 meV per atom; final energy = -22.06 eV for the cell shown; DOS at the Fermi energy = 3.45 states/eV/f.u.
1.0
-2.977 -2.340 2.905
3.656 -1.093 2.867
-0.740 4.014 2.474
Ge Mg W
3 1 1
Cartesian
-1.489 -1.170 1.453
1.828 -0.547 1.433
-0.370 2.007 1.237
0.000 0.000 0.000
-0.031 0.290 4.123